Compound: La2HoZn2In2
Source: the Alexandria database
Functional: GGA-PBE
Structure: optimized geometry

The crystal system is trigonal. As for the formation energy: -30.41 kJ per mole of atoms. The value obtained for the total energy is -3.52 eV per atom.

It has space group R-3m (No. 166, hexagonal axes), with a = 4.7326 Å, b = 4.7326 Å, c = 28.1822 Å, α = 90.00°, β = 90.00° and γ = 120.00°. The inequivalent atoms are La at (0.0000, 0.0000, 0.1292), Ho at (0.0000, 0.0000, 0.0000), Zn at (0.0000, 0.0000, 0.3901) and In at (0.0000, 0.0000, 0.2694).